Arrangement i

Here is a relaxed InHg2P crystal from Alexandria via LeMat-Bulk. Energies are from PBE.

Summary:
- N(E_F): 0.441 states/eV/atom

Lattice parameters (Å, degrees): 5.4349 5.4349 5.4349 136.49 115.46 81.08
Last column: nearest neighbours and their distance in Å.
Atoms (fractional coordinates):
1 Hg 0.9780 0.9780 0.0000  2 P 2.78, 2 Hg 3.02
2 Hg 0.2502 0.7502 0.5000  2 Hg 3.02, 2 In 3.04
3 In 0.5263 0.5263 0.0000  2 P 2.71
4 P 0.7455 0.2455 0.5000  2 In 2.71, 2 Hg 2.78

***

Arrangement ii

Here is a relaxed InHg2P crystal from Alexandria via LeMat-Bulk. Energies are from PBE.

Summary:
- N(E_F): 0.207 states/eV/atom

Lattice parameters (Å, degrees): 3.6813 3.6813 7.9469 90.00 90.00 90.00
Last column: nearest neighbours and their distance in Å.
Atoms (fractional coordinates):
1 Hg 0.0000 0.0000 0.0189  1 In 2.86, 4 Hg 3.17
2 Hg 0.5000 0.5000 0.2465  1 P 2.61
3 In 0.0000 0.0000 0.6591  4 P 2.69, 1 Hg 2.86
4 P 0.5000 0.5000 0.5755  1 Hg 2.61, 4 In 2.69

***

The energy of each structure relative to the most stable one, in meV per atom, is as follows: arrangement i 128; arrangement ii 0.

***

Arrangement i

Here is a relaxed InHgP2 crystal from Alexandria via LeMat-Bulk. Energies are from PBE.

Summary:
- N(E_F): 0.401 states/eV/atom

Lattice parameters (Å, degrees): 4.9086 4.9086 4.9086 121.65 121.65 87.16
Last column: nearest neighbours and their distance in Å.
Atoms (fractional coordinates):
1 Hg 0.5000 0.5000 0.0000  4 In 2.98, 4 P 2.98
2 In 0.7500 0.2500 0.5000  4 Hg 2.98, 4 P 2.98
3 P 0.0000 0.0000 0.0000  4 P 2.98, 4 In 2.98
4 P 0.2500 0.7500 0.5000  4 P 2.98, 4 Hg 2.98

***

Arrangement ii

Here is a relaxed InHgP2 crystal from Alexandria via LeMat-Bulk. Energies are from PBE.

Summary:
- N(E_F): 0.402 states/eV/atom

Lattice parameters (Å, degrees): 9.6783 9.6783 9.6783 19.84 19.84 19.84
Last column: nearest neighbours and their distance in Å.
Atoms (fractional coordinates):
1 Hg 0.5064 0.5064 0.5064  6 Hg 3.33, 3 In 3.34, 3 P 3.36
2 In 0.7440 0.7440 0.7440  6 In 3.33, 3 Hg 3.34, 3 P 3.38
3 P 0.9796 0.9796 0.9796  3 P 2.28
4 P 0.2700 0.2700 0.2700  3 P 2.28

***

The energy of each structure relative to the most stable one, in meV per atom, is as follows: arrangement i 523; arrangement ii 0.

***

Arrangement i

Here is a relaxed InHgP2 crystal from Alexandria via LeMat-Bulk. Energies are from PBE.

Summary:
- N(E_F): 0.543 states/eV/atom

Lattice parameters (Å, degrees): 3.6940 4.6874 4.6874 90.00 90.00 90.00
Last column: nearest neighbours and their distance in Å.
Atoms (fractional coordinates):
1 Hg 0.5000 0.5000 0.0000  8 P 2.98, 4 In 3.31
2 In 0.5000 0.0000 0.5000  8 P 2.98, 4 Hg 3.31
3 P 0.0000 0.0000 0.0000  4 Hg 2.98, 4 In 2.98, 4 P 3.31
4 P 0.0000 0.5000 0.5000  4 Hg 2.98, 4 In 2.98, 4 P 3.31

***

Arrangement ii

Here is a relaxed InHgP2 crystal from Alexandria via LeMat-Bulk. Energies are from PBE.

Summary:
- N(E_F): 0.553 states/eV/atom

Lattice parameters (Å, degrees): 4.7367 4.7367 3.8122 90.00 90.00 74.17
Last column: nearest neighbours and their distance in Å.
Atoms (fractional coordinates):
1 Hg 0.5000 0.0000 0.5000  2 In 2.86, 8 P 3.04
2 In 0.0000 0.5000 0.5000  2 Hg 2.86, 8 P 3.04
3 P 0.0000 0.0000 0.0000  2 P 2.86, 4 In 3.04, 4 Hg 3.04
4 P 0.5000 0.5000 0.0000  2 P 2.86, 4 Hg 3.04, 4 In 3.04

***

The energy of each structure relative to the most stable one, in meV per atom, is as follows: arrangement i 19; arrangement ii 0.

***

Arrangement i

Here is a relaxed InHgP2 crystal from Alexandria via LeMat-Bulk. Energies are from PBE.

Summary:
- N(E_F): 0.297 states/eV/atom

Lattice parameters (Å, degrees): 3.6676 3.6676 10.1252 90.00 90.00 128.42
Last column: nearest neighbours and their distance in Å.
Atoms (fractional coordinates):
1 Hg 0.0000 0.0000 0.4833  2 Hg 3.19, 2 In 3.39, 2 P 3.39
2 In 0.5000 0.5000 0.7783  2 P 3.18, 2 In 3.19, 2 Hg 3.39
3 P 0.0000 0.0000 0.0504  2 P 2.12
4 P 0.5000 0.5000 0.1880  2 P 2.12

***

Arrangement ii

Here is a relaxed InHgP2 crystal from Alexandria via LeMat-Bulk. Energies are from PBE.

Summary:
- N(E_F): 0.595 states/eV/atom

Lattice parameters (Å, degrees): 5.1603 5.1603 5.1603 135.61 112.56 84.37
Last column: nearest neighbours and their distance in Å.
Atoms (fractional coordinates):
1 Hg 0.7500 0.2500 0.5000  4 P 2.71
2 In 0.2500 0.7500 0.5000  4 P 2.76
3 P 0.9953 0.9953 0.0000  2 Hg 2.71, 2 In 2.76
4 P 0.5047 0.5047 0.0000  2 Hg 2.71, 2 In 2.76

***

The energy of each structure relative to the most stable one, in meV per atom, is as follows: arrangement i 0; arrangement ii 264.